An optimized crystal structure of BaLaAl2, computed with GGA-PBE. Values from VASP.

Results
Space-group type: F-43m
Polymorph energy (0 for the lowest one) in meV per atom: 434
Energy relative to the elements in eV/f.u.: 0.99
DFT total energy in eV for the cell shown: -13.35

```
&SYSTEM
  ibrav = 0, nat = 4, ntyp = 3
/
ATOMIC_SPECIES
La 138.91 La.upf
Al 26.98 Al.upf
Ba 137.33 Ba.upf
ATOMIC_POSITIONS crystal
La 0.750 0.750 0.750
Al 0.250 0.250 0.250
Al 0.000 0.000 0.000
Ba 0.500 0.500 0.500
CELL_PARAMETERS angstrom
-2.645 -2.590 4.025
0.242 -5.451 0.367
2.818 -2.345 4.057
```

An optimized crystal structure of Li2Pd3Au, computed with GGA-PBE. Values from VASP.

Results
Space-group type: C2/m
Polymorph energy (0 for the lowest one) in meV per atom: 0
Energy relative to the elements in eV/f.u.: -2.45
DFT total energy in eV for the cell shown: -50.27

```
&SYSTEM
  ibrav = 0, nat = 12, ntyp = 3
/
ATOMIC_SPECIES
Au 196.97 Au.upf
Pd 106.42 Pd.upf
Li 6.94 Li.upf
ATOMIC_POSITIONS crystal
Au 0.500 0.750 0.500
Au 0.000 0.250 0.000
Pd 0.500 0.250 0.832
Pd 0.500 0.250 0.500
Pd 0.500 0.250 0.168
Pd 0.000 0.750 0.668
Pd 0.000 0.750 0.000
Pd 0.000 0.750 0.332
Li 0.500 0.750 0.166
Li 0.000 0.250 0.666
Li 0.500 0.750 0.834
Li 0.000 0.250 0.334
CELL_PARAMETERS angstrom
4.640 -1.281 0.000
-1.849 5.198 0.000
0.000 0.000 8.304
```

An optimized crystal structure of Er3ScPt3, computed with GGA-PBE. Values from VASP.

Results
Space-group type: C2/m
Energy relative to the elements in eV/f.u.: -7.33
DFT total energy in eV for the cell shown: -90.94

```
&SYSTEM
  ibrav = 0, nat = 14, ntyp = 3
/
ATOMIC_SPECIES
Pt 195.08 Pt.upf
Sc 44.96 Sc.upf
Er 167.26 Er.upf
ATOMIC_POSITIONS crystal
Pt 0.007 0.499 0.250
Pt 0.501 0.993 0.750
Pt 0.993 0.501 0.750
Pt 0.053 0.053 0.791
Pt 0.947 0.947 0.209
Pt 0.499 0.007 0.250
Sc 0.778 0.778 0.954
Sc 0.222 0.222 0.046
Er 0.697 0.697 0.494
Er 0.191 0.809 0.500
Er 0.303 0.303 0.506
Er 0.278 0.722 0.000
Er 0.722 0.278 0.000
Er 0.809 0.191 0.500
CELL_PARAMETERS angstrom
6.639 1.790 0.771
-1.355 6.742 0.771
-0.053 -0.086 6.767
```

An optimized crystal structure of UHgGe, computed with GGA-PBE. Values from VASP.

Results
Space-group type: Cmcm
Energy relative to the elements in eV/f.u.: -0.26
DFT total energy in eV for the cell shown: -32.94

```
&SYSTEM
  ibrav = 0, nat = 6, ntyp = 3
/
ATOMIC_SPECIES
Hg 200.59 Hg.upf
U 238.03 U.upf
Ge 72.64 Ge.upf
ATOMIC_POSITIONS crystal
Hg 0.750 0.739 0.521
Hg 0.250 0.261 0.479
U 0.750 0.061 0.879
U 0.250 0.939 0.121
Ge 0.250 0.571 0.857
Ge 0.750 0.429 0.143
CELL_PARAMETERS angstrom
3.736 0.000 0.000
0.000 4.891 0.000
0.000 2.445 6.961
```

An optimized crystal structure of Al2Cd2GaPd5, computed with GGA-PBE. Values from VASP.

Results
Space-group type: P4/mbm
Energy relative to the elements in eV/f.u.: -5.34
DFT total energy in eV for the cell shown: -87.29

```
&SYSTEM
  ibrav = 0, nat = 20, ntyp = 4
/
ATOMIC_SPECIES
Al 26.98 Al.upf
Pd 106.42 Pd.upf
Ga 69.72 Ga.upf
Cd 112.41 Cd.upf
ATOMIC_POSITIONS crystal
Al 0.000 0.134 0.634
Al 0.000 0.634 0.866
Al 0.000 0.866 0.366
Al 0.000 0.366 0.134
Pd 0.500 0.182 0.094
Pd 0.500 0.094 0.818
Pd 0.500 0.906 0.182
Pd 0.500 0.594 0.682
Pd 0.500 0.318 0.594
Pd 0.500 0.406 0.318
Pd 0.500 0.500 0.000
Pd 0.500 0.000 0.500
Pd 0.500 0.818 0.906
Pd 0.500 0.682 0.406
Ga 0.000 0.500 0.500
Ga 0.000 0.000 0.000
Cd 0.000 0.335 0.835
Cd 0.000 0.665 0.165
Cd 0.000 0.835 0.665
Cd 0.000 0.165 0.335
CELL_PARAMETERS angstrom
-0.704 1.966 2.508
6.111 -5.405 5.951
7.739 5.980 -2.516
```

An optimized crystal structure of CaAl2Ir, computed with GGA-PBE. Values from VASP.

Results
Space-group type: Fm-3m
Energy relative to the elements in eV/f.u.: -1.83
DFT total energy in eV for the cell shown: -20.18

```
&SYSTEM
  ibrav = 0, nat = 4, ntyp = 3
/
ATOMIC_SPECIES
Al 26.98 Al.upf
Ca 40.08 Ca.upf
Ir 192.22 Ir.upf
ATOMIC_POSITIONS crystal
Al 0.750 0.750 0.750
Al 0.250 0.250 0.250
Ca 0.000 0.000 0.000
Ir 0.500 0.500 0.500
CELL_PARAMETERS angstrom
0.000 3.226 3.226
3.226 0.000 3.226
3.226 3.226 0.000
```

An optimized crystal structure of Ac4Mg5Ir2, computed with GGA-PBE. Values from VASP.

Results
Space-group type: P2/m
Energy relative to the elements in eV/f.u.: -2.93
DFT total energy in eV for the cell shown: -45.06

```
&SYSTEM
  ibrav = 0, nat = 11, ntyp = 3
/
ATOMIC_SPECIES
Ir 192.22 Ir.upf
Mg 24.30 Mg.upf
Ac 227.00 Ac.upf
ATOMIC_POSITIONS crystal
Ir 0.000 0.929 0.350
Ir 0.000 0.071 0.650
Mg 0.000 0.186 0.162
Mg 0.000 0.442 0.681
Mg 0.000 0.814 0.838
Mg 0.000 0.500 0.000
Mg 0.000 0.558 0.319
Ac 0.500 0.214 0.449
Ac 0.500 0.168 0.848
Ac 0.500 0.786 0.551
Ac 0.500 0.832 0.152
CELL_PARAMETERS angstrom
4.111 0.000 0.000
0.000 8.044 0.068
0.000 -0.691 10.216
```

An optimized crystal structure of RbLi2Sb2, computed with GGA-PBE. Values from VASP.

Results
Space-group type: P4/mbm
Polymorph energy (0 for the lowest one) in meV per atom: 112
DFT total energy in eV for the cell shown: -29.52
Formation energy from raw total energies in meV/atom: -343.9

```
&SYSTEM
  ibrav = 0, nat = 10, ntyp = 3
/
ATOMIC_SPECIES
Li 6.94 Li.upf
Sb 121.76 Sb.upf
Rb 85.47 Rb.upf
ATOMIC_POSITIONS crystal
Li 0.863 0.363 0.500
Li 0.637 0.863 0.500
Li 0.363 0.137 0.500
Li 0.137 0.637 0.500
Sb 0.867 0.633 0.000
Sb 0.367 0.867 0.000
Sb 0.133 0.367 0.000
Sb 0.633 0.133 0.000
Rb 0.000 0.000 0.000
Rb 0.500 0.500 0.000
CELL_PARAMETERS angstrom
9.186 0.000 0.000
0.000 9.186 0.000
0.000 0.000 3.266
```